Density functional theory data (PBE+U) for an optimized crystal structure of VRhNF2.

Output
distance to the lowest polymorph of the same formula = 0.000 eV/atom
Fermi-level density of states = 5.0 states/eV per cell
volume = 12.34 Å³/atom
space group = No. 123

Cell lengths 3.942, 3.942, 3.971 Å; angles 90.00, 90.00, 90.00 degrees
Element x y z (fractional)
V (0.000, 0.000, 0.000)
Rh (0.500, 0.500, 0.500)
N (0.000, 0.000, 0.500)
F (0.000, 0.500, 0.000)
F (0.500, 0.000, 0.000)